ScCoPtO2: relaxed, PBE+U.

Lattice parameters (Å, degrees): 3.777 3.777 4.787 90.00 90.00 90.00
Space group P4/mmm (No. 123)
One atom of each set of equivalent atoms:
Sc (0.000, 0.000, 0.000) x1
Co (0.500, 0.500, 0.500) x1
Pt (0.500, 0.500, 0.000) x1
O (0.000, 0.500, 0.500) x2

Calculated values
Raw total energy (eV per atom): -6.089